[1]
## TiHgSb3 (GGA-PBE)

Data for an optimized crystal structure of TiHgSb3.

```
TiHgSb3
1.0
5.455 0.000 0.000
0.000 5.455 0.000
0.000 0.000 5.455
Sb Hg Ti
3 1 1
Direct
0.500 0.000 0.000
0.000 0.500 0.000
0.000 0.000 0.500
0.000 0.000 0.000
0.500 0.500 0.500
```

Values from the calculation:
Space group: Pm-3m
Raw formation energy (eV/f.u.): 5.7

=====

[2]
## SrScB (GGA-PBE)

Data for an optimized crystal structure of SrScB.

```
SrScB
1.0
4.405 -0.004 -0.004
-0.070 9.186 -0.016
0.777 1.718 3.980
B Sr Sc
2 2 2
Direct
0.274 0.754 0.443
0.982 0.754 0.734
0.356 0.079 0.492
0.900 0.429 0.685
0.430 0.663 0.981
0.826 0.845 0.196
```

Values from the calculation:
Space group: C2/m
Total energy (Ry/atom): -0.363

=====

[3]
## Al3HAu (GGA-PBE)

Data for an optimized crystal structure of Al3HAu.

```
Al3HAu
1.0
-0.487 1.144 -4.697
4.064 -2.459 -1.021
-2.618 -4.031 -0.711
Al H Au
3 1 1
Direct
0.000 0.000 0.500
0.500 0.000 0.000
0.000 0.500 0.000
0.500 0.500 0.500
0.000 0.000 0.000
```

Values from the calculation:
Space group: Pm-3m
Total energy (Ry/atom): -0.220

=====

[4]
## RbTa2Hg2O7 (GGA-PBE)

Data for an optimized crystal structure of RbTa2Hg2O7.

```
RbTa2Hg2O7
1.0
-1.360 -0.828 6.159
-5.744 -2.117 1.733
0.447 -8.993 2.175
O Hg Ta Rb
7 2 2 1
Direct
0.837 0.382 0.698
0.618 0.163 0.302
0.382 0.083 0.698
0.163 0.917 0.302
0.000 0.000 0.000
0.917 0.618 0.302
0.083 0.837 0.698
0.780 0.780 0.660
0.220 0.220 0.340
0.076 0.076 0.773
0.924 0.924 0.227
0.500 0.500 0.500
```

Values from the calculation:
Space group: R32
Raw formation energy (eV/f.u.): -21.5

=====

[5]
## Tb4Pm5Th2 (GGA-PBE)

Data for an optimized crystal structure of Tb4Pm5Th2.

```
Tb4Pm5Th2
1.0
3.512 0.000 0.000
0.000 8.908 0.219
0.000 0.604 11.868
Tb Pm Th
4 5 2
Direct
0.500 0.841 0.892
0.500 0.159 0.108
0.500 0.304 0.546
0.500 0.696 0.454
0.000 0.425 0.289
0.000 0.806 0.164
0.000 0.194 0.836
0.000 0.500 0.000
0.000 0.575 0.711
0.000 0.039 0.367
0.000 0.961 0.633
```

Values from the calculation:
Space group: P2/m
Total energy (Ry/atom): -0.372

=====

[6]
## Ho2AlGa3Cu4 (GGA-PBE)

Data for an optimized crystal structure of Ho2AlGa3Cu4.

```
Ho2AlGa3Cu4
1.0
4.095 0.000 0.000
0.000 4.095 0.000
0.000 0.000 10.191
Al Cu Ho Ga
1 4 2 3
Direct
0.500 0.500 0.500
0.500 0.000 0.636
0.000 0.000 0.000
0.500 0.500 0.000
0.000 0.500 0.364
0.000 0.500 0.756
0.500 0.000 0.244
0.000 0.500 0.131
0.000 0.000 0.500
0.500 0.000 0.869
```

Values from the calculation:
Space group: P-4m2
Total energy (Ry/atom): -0.314

=====

[7]
## SiP3Pb (GGA-PBE)

Data for an optimized crystal structure of SiP3Pb.

```
SiP3Pb
1.0
4.637 0.000 0.000
0.000 4.637 0.000
0.000 0.000 4.637
Pb P Si
1 3 1
Direct
0.500 0.500 0.500
0.500 0.000 0.000
0.000 0.000 0.500
0.000 0.500 0.000
0.000 0.000 0.000
```

Values from the calculation:
Space group: Pm-3m
Raw formation energy (eV/f.u.): 2.6

=====

[8]
## Co2AgH (GGA-PBE)

Data for an optimized crystal structure of Co2AgH.

```
Co2AgH
1.0
2.695 0.000 0.000
-1.348 2.334 0.000
0.000 0.000 20.425
Co Ag H
6 3 3
Direct
0.667 0.333 0.956
0.667 0.333 0.197
0.333 0.667 0.290
0.000 0.000 0.864
0.333 0.667 0.531
0.000 0.000 0.623
0.667 0.333 0.736
0.333 0.667 0.069
0.000 0.000 0.403
0.667 0.333 0.497
0.333 0.667 0.830
0.000 0.000 0.163
```

Values from the calculation:
Space group: R3m
Total energy (Ry/atom): -0.359

=====

So what do the calculations give for total magnetic moment? Going down the list: 0.132; 0.159; 0.000; 0.000; 0.001; 0.000; 0.000; 3.191 μB/f.u..